Below is an optimized crystal structure of GaWC2O, with properties calculated at the GGA+U level.

The calculated total energy comes out at -23.06 eV/cell. The value obtained for the density of states at the Fermi level is 1.94 states/eV/cell.

The structure belongs to space group P4/mmm (No. 123); the cell edges are 3.6583, 3.6583 and 5.8730 Å and the angles 90.00°, 90.00° and 90.00°. Symmetry generates all atoms from Ga at (0.0000, 0.0000, 0.0000), W at (0.0000, 0.0000, 0.5000), C at (0.0000, 0.5000, 0.0000) and O at (0.5000, 0.5000, 0.5000).